No. 1
! ErZr2Np, relaxed, DFT PBE; values from VASP
! SG: P4/mmm (123)
! Fermi-level density of states: 9.3 states/eV/f.u.
! total DFT energy (no corrections): -8.3481 eV per atom
! formation enthalpy at 0 K: 0.302 eV/atom
&SYSTEM
  ibrav = 0, nat = 4, ntyp = 3
/
ATOMIC_SPECIES
Np 237.00 Np.upf
Zr 91.22 Zr.upf
Er 167.26 Er.upf
CELL_PARAMETERS angstrom
3.7567 0.0000 0.0000
0.0000 3.7567 0.0000
0.0000 0.0000 7.0734
ATOMIC_POSITIONS crystal
Np 0.5000 0.5000 0.0000
Zr 0.0000 0.0000 0.7885
Zr 0.0000 0.0000 0.2115
Er 0.5000 0.5000 0.5000

No. 2
! KBa2LiBr6, relaxed, DFT PBE; values from VASP
! SG: P2_1/c (14)
! Fermi-level density of states: 0.0 states/eV/f.u.
! total DFT energy (no corrections): -3.6294 eV per atom
! raw formation energy: -1.940 eV/atom
&SYSTEM
  ibrav = 0, nat = 20, ntyp = 4
/
ATOMIC_SPECIES
Br 79.90 Br.upf
K 39.10 K.upf
Ba 137.33 Ba.upf
Li 6.94 Li.upf
CELL_PARAMETERS angstrom
-4.1901 -2.8639 5.6368
2.0261 -7.6012 -2.3558
9.5512 0.6600 6.0851
ATOMIC_POSITIONS crystal
Br 0.8545 0.5421 0.2277
Br 0.6455 0.0421 0.2723
Br 0.3545 0.9579 0.7277
Br 0.6626 0.3016 0.5664
Br 0.8374 0.8016 0.9336
Br 0.1455 0.4579 0.7723
Br 0.2068 0.1696 0.4230
Br 0.3374 0.6984 0.4336
Br 0.2932 0.6696 0.0770
Br 0.7068 0.3304 0.9230
Br 0.7932 0.8304 0.5770
Br 0.1626 0.1984 0.0664
K 0.5000 0.0000 0.0000
K 0.0000 0.5000 0.5000
Ba 0.4600 0.3997 0.2656
Ba 0.5400 0.6003 0.7344
Ba 0.0400 0.8997 0.2344
Ba 0.9600 0.1003 0.7656
Li 0.5000 0.0000 0.5000
Li 0.0000 0.5000 0.0000

No. 3
! Li6Zn12Au, relaxed, DFT PBE; values from VASP
! SG: R-3 (148)
! Fermi-level density of states: 4.9 states/eV/f.u.
! total DFT energy (no corrections): -1.7550 eV per atom
! formation enthalpy at 0 K: -0.173 eV/atom
&SYSTEM
  ibrav = 0, nat = 19, ntyp = 3
/
ATOMIC_SPECIES
Li 6.94 Li.upf
Zn 65.41 Zn.upf
Au 196.97 Au.upf
CELL_PARAMETERS angstrom
6.5638 0.3981 0.4769
-0.6016 6.5483 0.4769
-0.6016 -0.7009 6.5282
ATOMIC_POSITIONS crystal
Li 0.8850 0.2663 0.7278
Li 0.1150 0.7337 0.2722
Li 0.2722 0.1150 0.7337
Li 0.7278 0.8850 0.2663
Li 0.7337 0.2722 0.1150
Li 0.2663 0.7278 0.8850
Zn 0.5548 0.2017 0.4771
Zn 0.0454 0.1545 0.3797
Zn 0.3797 0.0454 0.1545
Zn 0.4771 0.5548 0.2017
Zn 0.1545 0.3797 0.0454
Zn 0.5229 0.4452 0.7983
Zn 0.6203 0.9546 0.8455
Zn 0.2017 0.4771 0.5548
Zn 0.4452 0.7983 0.5229
Zn 0.9546 0.8455 0.6203
Zn 0.7983 0.5229 0.4452
Zn 0.8455 0.6203 0.9546
Au 0.0000 0.0000 0.0000

No. 4
! TbPaTe6, relaxed, DFT PBE; values from VASP
! SG: Amm2 (38)
! Fermi-level density of states: 5.8 states/eV/f.u.
! total DFT energy (no corrections): -4.9368 eV per atom
! raw formation energy: -0.815 eV/atom
&SYSTEM
  ibrav = 0, nat = 8, ntyp = 3
/
ATOMIC_SPECIES
Te 127.60 Te.upf
Pa 231.04 Pa.upf
Tb 158.93 Tb.upf
CELL_PARAMETERS angstrom
-4.0867 -0.4548 1.5799
-1.2224 -1.9941 -3.7360
5.3140 -11.3719 4.3309
ATOMIC_POSITIONS crystal
Te 0.5808 0.5000 0.1615
Te 0.4208 0.0000 0.8417
Te 0.2916 0.5000 0.5831
Te 0.7053 0.0000 0.4106
Te 0.9210 0.5000 0.8419
Te 0.0808 0.0000 0.1615
Pa 0.1697 0.5000 0.3393
Tb 0.8302 0.0000 0.6603

No. 5
! LuAlZnHg, relaxed, DFT PBE; values from VASP
! SG: F-43m (216)
! Fermi-level density of states: 1.6 states/eV/f.u.
! total DFT energy (no corrections): -2.6970 eV per atom
! formation enthalpy at 0 K: -0.237 eV/atom
&SYSTEM
  ibrav = 0, nat = 4, ntyp = 4
/
ATOMIC_SPECIES
Hg 200.59 Hg.upf
Al 26.98 Al.upf
Zn 65.41 Zn.upf
Lu 174.97 Lu.upf
CELL_PARAMETERS angstrom
4.8386 0.0000 0.0000
2.4193 4.1904 0.0000
2.4193 1.3968 3.9507
ATOMIC_POSITIONS crystal
Hg 0.5000 0.5000 0.5000
Al 0.2500 0.2500 0.2500
Zn 0.0000 0.0000 0.0000
Lu 0.7500 0.7500 0.7500

No. 6
! Ti4Ga5Ni, relaxed, DFT PBE; values from VASP
! SG: I4 (79)
! Fermi-level density of states: 10.0 states/eV/f.u.
! total DFT energy (no corrections): -5.4656 eV per atom
! formation enthalpy at 0 K: -0.216 eV/atom
&SYSTEM
  ibrav = 0, nat = 10, ntyp = 3
/
ATOMIC_SPECIES
Ga 69.72 Ga.upf
Ti 47.87 Ti.upf
Ni 58.69 Ni.upf
CELL_PARAMETERS angstrom
5.3501 0.0000 0.0000
2.6751 5.5328 0.0000
2.6751 0.0000 5.5328
ATOMIC_POSITIONS crystal
Ga 0.1986 0.8575 0.6663
Ga 0.0561 0.6663 0.1425
Ga 0.7224 0.1425 0.3337
Ga 0.6492 0.0000 0.0000
Ga 0.8649 0.3337 0.8575
Ti 0.5091 0.6239 0.2570
Ti 0.3900 0.3761 0.7430
Ti 0.7661 0.7430 0.6239
Ti 0.1330 0.2570 0.3761
Ni 0.2207 0.0000 0.0000

No. 7
! Pm8Sb2Pd, relaxed, DFT PBE; values from VASP
! SG: C2/m (12)
! Fermi-level density of states: 11.7 states/eV/f.u.
! total DFT energy (no corrections): -5.1887 eV per atom
! raw formation energy: -0.512 eV/atom
&SYSTEM
  ibrav = 0, nat = 11, ntyp = 3
/
ATOMIC_SPECIES
Pd 106.42 Pd.upf
Pm 145.00 Pm.upf
Sb 121.76 Sb.upf
CELL_PARAMETERS angstrom
4.8046 0.0000 0.0000
0.0000 7.4372 0.5892
-2.4023 -2.3434 9.3030
ATOMIC_POSITIONS crystal
Pd 0.5000 0.0000 0.0000
Pm 0.5949 0.5035 0.1898
Pm 0.0094 0.7742 0.0188
Pm 0.9906 0.2258 0.9812
Pm 0.3482 0.9769 0.6965
Pm 0.2143 0.3456 0.4285
Pm 0.7857 0.6544 0.5715
Pm 0.6518 0.0231 0.3035
Pm 0.4051 0.4965 0.8102
Sb 0.1830 0.7648 0.3659
Sb 0.8170 0.2352 0.6341

No. 8
! NaAcZnPb, relaxed, DFT PBE; values from VASP
! SG: F-43m (216)
! Fermi-level density of states: 0.9 states/eV/f.u.
! total DFT energy (no corrections): -2.8712 eV per atom
! formation enthalpy at 0 K: -0.269 eV/atom
&SYSTEM
  ibrav = 0, nat = 4, ntyp = 4
/
ATOMIC_SPECIES
Ac 227.00 Ac.upf
Na 22.99 Na.upf
Zn 65.41 Zn.upf
Pb 207.20 Pb.upf
CELL_PARAMETERS angstrom
-4.6198 -1.7159 -2.5443
0.2272 -4.1796 -3.6387
-2.2106 -4.9210 1.2876
ATOMIC_POSITIONS crystal
Ac 0.7500 0.7500 0.7500
Na 0.2500 0.2500 0.2500
Zn 0.0000 0.0000 0.0000
Pb 0.5000 0.5000 0.5000

No. 9
! TlInAs, relaxed, DFT PBE; values from VASP
! SG: P3m1 (156)
! Fermi-level density of states: 1.1 states/eV/f.u.
! energy above the lowest structure with this stoichiometry: 91 meV per atom
! total DFT energy (no corrections): -3.1436 eV per atom
! formation enthalpy at 0 K: 0.108 eV/atom
&SYSTEM
  ibrav = 0, nat = 3, ntyp = 3
/
ATOMIC_SPECIES
As 74.92 As.upf
Tl 204.38 Tl.upf
In 114.82 In.upf
CELL_PARAMETERS angstrom
-0.0480 -1.1632 -5.1114
4.5298 0.0316 2.6385
-0.3982 -3.1532 0.7213
ATOMIC_POSITIONS crystal
As 0.0000 0.0000 0.1660
Tl 0.3333 0.6667 0.6659
In 0.6667 0.3333 0.1682

No. 10
! Cs2CdTeO4, relaxed, DFT PBE; values from VASP
! SG: I-4 (82)
! total DFT energy (no corrections): -4.3702 eV per atom
! raw formation energy: -1.171 eV/atom
&SYSTEM
  ibrav = 0, nat = 8, ntyp = 4
/
ATOMIC_SPECIES
Te 127.60 Te.upf
O 16.00 O.upf
Cs 132.91 Cs.upf
Cd 112.41 Cd.upf
CELL_PARAMETERS angstrom
-3.0432 0.7360 -5.5886
-3.0075 -3.0153 4.7852
1.0807 5.1621 3.6358
ATOMIC_POSITIONS crystal
Te 0.0000 0.5000 0.5000
O 0.3630 0.8541 0.7470
O 0.8929 0.5088 0.1459
O 0.1071 0.2530 0.6160
O 0.6370 0.3840 0.4912
Cs 0.5000 0.7500 0.2500
Cs 0.0000 0.0000 0.0000
Cd 0.5000 0.2500 0.7500

No. 11
! Pm4Dy3Hg, relaxed, DFT PBE; values from VASP
! SG: P4/mmm (123)
! Fermi-level density of states: 10.6 states/eV/f.u.
! total DFT energy (no corrections): -4.2389 eV per atom
! formation enthalpy at 0 K: -0.100 eV/atom
&SYSTEM
  ibrav = 0, nat = 8, ntyp = 3
/
ATOMIC_SPECIES
Hg 200.59 Hg.upf
Pm 145.00 Pm.upf
Dy 162.50 Dy.upf
CELL_PARAMETERS angstrom
3.6393 0.0000 0.0000
0.0000 3.6393 0.0000
0.0000 0.0000 19.1788
ATOMIC_POSITIONS crystal
Hg 0.5000 0.5000 0.0000
Pm 0.0000 0.0000 0.3697
Pm 0.0000 0.0000 0.1074
Pm 0.0000 0.0000 0.8926
Pm 0.0000 0.0000 0.6303
Dy 0.5000 0.5000 0.7610
Dy 0.5000 0.5000 0.5000
Dy 0.5000 0.5000 0.2390

No. 12
! KOsSeN2, relaxed, DFT PBE; values from VASP
! SG: P4/mmm (123)
! Fermi-level density of states: 4.2 states/eV/f.u.
! energy above the lowest structure with this stoichiometry: 2272 meV per atom
! total DFT energy (no corrections): -3.7517 eV per atom
! raw formation energy: 2.741 eV/atom
&SYSTEM
  ibrav = 0, nat = 5, ntyp = 4
/
ATOMIC_SPECIES
N 14.01 N.upf
Se 78.96 Se.upf
K 39.10 K.upf
Os 190.23 Os.upf
CELL_PARAMETERS angstrom
-0.2210 3.4555 2.2910
-0.6197 -3.3405 4.9788
4.1239 -0.0530 0.4778
ATOMIC_POSITIONS crystal
N 0.0000 0.0000 0.5000
N 0.5000 0.0000 0.0000
Se 0.0000 0.0000 0.0000
K 0.0000 0.5000 0.0000
Os 0.5000 0.5000 0.5000